(i)
Entry from Alexandria via LeMat-Bulk: a geometry-optimized SrPrY2 structure (PBE).

The space group is R-3m (No. 166, hexagonal axes) and the conventional cell measures 3.7267, 3.7267 and 37.0152 Å, with angles of 90.00, 90.00 and 120.00 degrees. The inequivalent atoms are Sr at (0.0000, 0.0000, 0.0000), Pr at (0.0000, 0.0000, 0.5000) and Y at (0.0000, 0.0000, 0.2443).

The crystal system is trigonal. As for the total moment: 0.00 μB/atom.

=====

(ii)
Entry from Alexandria via LeMat-Bulk: a geometry-optimized SrPrY2 structure (PBE).

The space group is P4/mmm (No. 123) and the conventional cell measures 5.293, 5.293 and 5.241 Å, with angles of 90.00, 90.00 and 90.00 degrees. The inequivalent atoms are Sr at (0.000, 0.000, 0.000), Pr at (0.500, 0.500, 0.000) and Y at (0.000, 0.500, 0.500).

The crystal system is tetragonal. As for the total moment: 0.00 μB/atom.

=====

Least stable: (ii)

=====

(i)
Entry from Alexandria via LeMat-Bulk: a geometry-optimized SrPrY2 structure (PBE).

The space group is P4/mmm (No. 123) and the conventional cell measures 3.751, 3.751 and 10.682 Å, with angles of 90.00, 90.00 and 90.00 degrees. The inequivalent atoms are Sr at (0.000, 0.000, 0.000), Pr at (0.000, 0.000, 0.500) and Y at (0.500, 0.500, 0.276).

The crystal system is tetragonal. As for the total moment: 0.01 μB/atom.

=====

(ii)
Entry from Alexandria via LeMat-Bulk: a geometry-optimized SrPrY2 structure (PBE).

The space group is R3m (No. 160, hexagonal axes) and the conventional cell measures 3.7279, 3.7279 and 36.7985 Å, with angles of 90.00, 90.00 and 120.00 degrees. The inequivalent atoms are Sr at (0.0000, 0.0000, 0.0000), Pr at (0.0000, 0.0000, 0.1658), Y at (0.0000, 0.0000, 0.5778) and Y at (0.0000, 0.0000, 0.7548).

The crystal system is trigonal. As for the total moment: 0.00 μB/atom.

=====

Least stable: (i)

=====

(i)
Entry from Alexandria via LeMat-Bulk: a geometry-optimized SrPr2Zn structure (PBE).

The space group is R3m (No. 160, hexagonal axes) and the conventional cell measures 3.8831, 3.8831 and 33.1878 Å, with angles of 90.00, 90.00 and 120.00 degrees. The inequivalent atoms are Sr at (0.0000, 0.0000, 0.0000), Pr at (0.0000, 0.0000, 0.5651), Pr at (0.0000, 0.0000, 0.7693) and Zn at (0.0000, 0.0000, 0.1670).

The crystal system is trigonal. As for the total moment: 0.00 μB/atom.

=====

(ii)
Entry from Alexandria via LeMat-Bulk: a geometry-optimized SrPr2Zn structure (PBE).

The space group is P4/mmm (No. 123) and the conventional cell measures 3.833, 3.833 and 9.479 Å, with angles of 90.00, 90.00 and 90.00 degrees. The inequivalent atoms are Sr at (0.000, 0.000, 0.000), Pr at (0.500, 0.500, 0.320) and Zn at (0.000, 0.000, 0.500).

The crystal system is tetragonal. As for the total moment: 0.00 μB/atom.

=====

(iii)
Entry from Alexandria via LeMat-Bulk: a geometry-optimized SrPr2Zn structure (PBE).

The space group is R-3m (No. 166, hexagonal axes) and the conventional cell measures 3.7895, 3.7895 and 35.5900 Å, with angles of 90.00, 90.00 and 120.00 degrees. The inequivalent atoms are Sr at (0.0000, 0.0000, 0.0000), Pr at (0.0000, 0.0000, 0.1058) and Zn at (0.0000, 0.0000, 0.5000).

The crystal system is trigonal. As for the total moment: 0.00 μB/atom.

=====

Least stable: (iii)